VASP calculation (PBE) on an optimized crystal structure of HoScAg.

Unit cell a=4.5364 b=4.5364 c=7.2661 alpha=90.00 beta=90.00 gamma=90.00
Last column: nearest neighbours and their distance in Å.
Fractional coordinates of all 6 atoms:
Ho 0.0000 0.5000 0.8624  1 Ag 2.87
Ho 0.5000 0.0000 0.1376  1 Ag 2.87
Ag 0.0000 0.5000 0.2570  1 Ho 2.87, 4 Sc 2.87
Ag 0.5000 0.0000 0.7430  1 Ho 2.87, 4 Sc 2.87
Sc 0.5000 0.5000 0.5000  4 Ag 2.87, 4 Sc 3.21
Sc 0.0000 0.0000 0.5000  4 Ag 2.87, 4 Sc 3.21

The calculation puts the energy above the lowest structure with this stoichiometry at 12 meV/atom. The space group is P4/nmm (129).

---

VASP calculation (PBE) on an optimized crystal structure of ThMgCdPd.

Unit cell a=5.0591 b=5.0591 c=5.0591 alpha=60.00 beta=60.00 gamma=60.00
Last column: nearest neighbours and their distance in Å.
Fractional coordinates of all 4 atoms:
Mg 0.5000 0.5000 0.5000  4 Cd 3.10, 4 Pd 3.10
Pd 0.2500 0.2500 0.2500  4 Mg 3.10, 4 Th 3.10
Th 0.0000 0.0000 0.0000  4 Pd 3.10, 4 Cd 3.10
Cd 0.7500 0.7500 0.7500  4 Th 3.10, 4 Mg 3.10

The space group is F-43m (216).

---

How do the records compare in DFT formation energy? In the order shown, they have -0.14 -0.39 eV per atom.